The following is a DFT calculation (PBE) of a relaxed Er8As3SeS4 crystal.

Lattice parameters (Å, degrees): 7.9246 7.9246 7.9246 60.28 60.28 60.28
Sites, in units of the cell vectors:
Er 0.2490 0.2490 0.2490
Er 0.2542 0.7434 0.7434
Er 0.2566 0.2566 0.7458
Er 0.2566 0.7458 0.2566
Er 0.7434 0.2542 0.7434
Er 0.7434 0.7434 0.2542
Er 0.7458 0.2566 0.2566
Er 0.7510 0.7510 0.7510
As 0.0000 0.5000 0.5000
As 0.5000 0.0000 0.5000
As 0.5000 0.5000 0.0000
Se 0.0000 0.0000 0.0000
S 0.0000 0.0000 0.5000
S 0.0000 0.5000 0.0000
S 0.5000 0.0000 0.0000
S 0.5000 0.5000 0.5000

The calculation puts the density of states at the Fermi level at 6.1 states/eV per cell. The formation energy without anion corrections is -1.787 eV per atom.



The following is a DFT calculation (PBE) of a relaxed Tb2CeGe3Pt4 crystal.

Lattice parameters (Å, degrees): 4.2950 4.2950 11.2014 90.00 90.00 90.00
Sites, in units of the cell vectors:
Tb 0.0000 0.5000 0.2143
Tb 0.5000 0.0000 0.7857
Ce 0.0000 0.0000 0.5000
Ge 0.0000 0.5000 0.8764
Ge 0.5000 0.0000 0.1236
Ge 0.5000 0.5000 0.5000
Pt 0.0000 0.0000 0.0000
Pt 0.0000 0.5000 0.6591
Pt 0.5000 0.0000 0.3409
Pt 0.5000 0.5000 0.0000

Its energy of formation from the pure elements is -8.91 eV per formula unit. The calculation puts the density of states at the Fermi level at 11.0 states/eV per cell.



The following is a DFT calculation (PBE) of a relaxed KTlRu crystal.

Lattice parameters (Å, degrees): 7.8174 7.8174 7.8174 156.97 156.97 32.79
Sites, in units of the cell vectors:
K 0.0000 0.0000 0.0000
Tl 0.6982 0.6982 0.0000
Ru 0.3267 0.3267 0.0000

Its energy of formation from the pure elements is 2.27 eV per formula unit. The calculation puts the density of states at the Fermi level at 2.7 states/eV per cell.



The following is a DFT calculation (PBE) of a relaxed Cu2SiBr crystal.

Lattice parameters (Å, degrees): 4.0426 4.0426 6.2749 108.50 108.50 60.03
Sites, in units of the cell vectors:
Cu 0.1404 0.1404 0.4196
Cu 0.8596 0.8596 0.5804
Si 0.5000 0.5000 0.5000
Br 0.0000 0.0000 0.0000

The calculation puts the density of states at the Fermi level at 1.6 states/eV per cell. The formation energy without anion corrections is 0.037 eV per atom.



The following is a DFT calculation (PBE) of a relaxed CeMg5Rh3 crystal.

Lattice parameters (Å, degrees): 7.9179 7.9179 8.8195 123.00 123.00 75.19
Sites, in units of the cell vectors:
Ce 0.1709 0.1709 0.4133
Ce 0.8291 0.8291 0.5867
Mg 0.0752 0.6014 0.2960
Mg 0.1767 0.1767 0.9407
Mg 0.2717 0.7283 0.0000
Mg 0.3986 0.9248 0.7040
Mg 0.4863 0.4863 0.2330
Mg 0.5137 0.5137 0.7670
Mg 0.6014 0.0752 0.2960
Mg 0.7283 0.2717 0.0000
Mg 0.8233 0.8233 0.0593
Mg 0.9248 0.3986 0.7040
Rh 0.0000 0.0000 0.0000
Rh 0.0000 0.0000 0.5000
Rh 0.3243 0.3243 0.8197
Rh 0.3413 0.3413 0.3544
Rh 0.6587 0.6587 0.6456
Rh 0.6757 0.6757 0.1803

Its energy of formation from the pure elements is -3.42 eV per formula unit. The calculation puts the density of states at the Fermi level at 10.7 states/eV per cell.



The following is a DFT calculation (PBE) of a relaxed Zn2FeAs crystal.

Lattice parameters (Å, degrees): 4.7232 4.7232 2.9683 90.13 90.13 115.93
Sites, in units of the cell vectors:
Zn 0.0000 0.5000 0.0000
Zn 0.5000 0.0000 0.0000
Fe 0.0000 0.0000 0.5000
As 0.5000 0.5000 0.5000

Its energy of formation from the pure elements is 0.67 eV per formula unit. The calculation puts the density of states at the Fermi level at 2.3 states/eV per cell.